Record 1
A plane-wave DFT calculation with PBE was carried out for crystalline YFeNiSb2 at its relaxed geometry.

Values from the calculation:
Crystal system = tetragonal
Formation energy from raw total energies = 0.299 eV/atom
Space-group type = P4/mmm

```
5
Lattice="4.802 0.000 0.000 0.000 4.802 0.000 0.000 0.000 4.961" Properties=species:S:1:pos:R:3 pbc="T T T"
Y 0.000 0.000 0.000
Fe 0.000 0.000 2.480
Ni 2.401 2.401 0.000
Sb 0.000 2.401 2.480
Sb 2.401 0.000 2.480
```

***

Record 2
A plane-wave DFT calculation with PBE was carried out for crystalline Tc3P at its relaxed geometry.

Values from the calculation:
Crystal system = orthorhombic
Space-group type = Cmcm
ΔE to the lowest computed polymorph = 480 meV per atom

```
8
Lattice="4.140 -3.259 0.000 4.140 3.259 0.000 0.000 0.000 4.373" Properties=species:S:1:pos:R:3 pbc="T T T"
Tc 4.140 2.724 3.280
Tc 2.732 1.278 1.093
Tc 5.547 1.278 1.093
Tc 2.732 -1.278 3.280
Tc 5.547 -1.278 3.280
Tc 4.140 -2.724 1.093
P 4.140 0.535 3.280
P 4.140 -0.535 1.093
```

***

Record 3
A plane-wave DFT calculation with PBE was carried out for crystalline DyZrIn at its relaxed geometry.

Values from the calculation:
Crystal system = tetragonal
Space-group type = I4mm
ΔE to the lowest computed polymorph = 0 meV per atom

```
3
Lattice="-1.706 1.706 6.577 1.706 -1.706 6.577 1.706 1.706 -6.577" Properties=species:S:1:pos:R:3 pbc="T T T"
Dy 0.000 0.000 0.000
Zr 0.000 0.000 4.273
In 0.000 0.000 8.839
```

***

Record 4
A plane-wave DFT calculation with PBE was carried out for crystalline PmZn2Ge at its relaxed geometry.

Values from the calculation:
Crystal system = trigonal
Space-group type = R-3m
ΔE to the lowest computed polymorph = 172 meV per atom

```
4
Lattice="2.133 1.231 5.268 -2.133 1.231 5.268 0.000 -2.463 5.268" Properties=species:S:1:pos:R:3 pbc="T T T"
Pm 0.000 0.000 0.000
Zn 0.000 0.000 3.505
Zn 0.000 0.000 12.298
Ge 0.000 0.000 7.902
```

***

Record 5
A plane-wave DFT calculation with PBE was carried out for crystalline ZrNiW2 at its relaxed geometry.

Values from the calculation:
Crystal system = trigonal
Space-group type = R-3m
ΔE to the lowest computed polymorph = 348 meV per atom

```
4
Lattice="1.406 0.812 9.594 -1.406 0.812 9.594 0.000 -1.624 9.594" Properties=species:S:1:pos:R:3 pbc="T T T"
Zr 0.000 0.000 0.000
Ni 0.000 0.000 14.391
W 0.000 0.000 6.899
W 0.000 0.000 21.883
```

***

Record 6
A plane-wave DFT calculation with PBE was carried out for crystalline KNdCdI6 at its relaxed geometry.

Values from the calculation:
Crystal system = trigonal
Formation energy from raw total energies = -1.134 eV/atom
Space-group type = P-31c

```
18
Lattice="7.937 0.000 0.000 -3.969 6.874 0.000 0.000 0.000 15.645" Properties=species:S:1:pos:R:3 pbc="T T T"
K 0.000 0.000 0.000
K 0.000 0.000 7.823
Nd 0.000 4.583 3.911
Nd 3.969 2.291 11.734
Cd 0.000 4.583 11.734
Cd 3.969 2.291 3.911
I -1.404 2.559 9.945
I -2.455 4.378 13.523
I 1.404 2.559 13.523
I -1.051 6.811 9.945
I 2.918 0.063 2.123
I 1.514 2.496 5.700
I 2.455 4.378 9.945
I 1.051 6.811 13.523
I 5.019 0.063 5.700
I 2.564 4.315 2.123
I 6.424 2.496 2.123
I 5.373 4.315 5.700
```

***

Respective calculated volume values: 22.88, 14.75, 25.51, 20.75, 16.43, 47.42 A^3/atom.